Density functional theory data (GGA-PBE) for Pm2Al3Ag4Hg after structural relaxation.

Output
As for the magnetic moment: 0.0 μB/f.u. The raw total energy comes out at -35.16 eV per cell.

Structure (POSCAR):
```
Pm2Al3Ag4Hg
1.0
-0.199 1.669 -3.978
1.591 -3.673 -1.620
-10.741 -4.125 -1.193
Al Ag Pm Hg
3 4 2 1
direct
0.000 0.000 0.500 Al
0.000 0.500 0.128 Al
0.500 0.000 0.872 Al
0.000 0.500 0.347 Ag
0.500 0.500 0.000 Ag
0.000 0.000 0.000 Ag
0.500 0.000 0.653 Ag
0.500 0.000 0.241 Pm
0.000 0.500 0.759 Pm
0.500 0.500 0.500 Hg
```



Density functional theory data (GGA-PBE) for PmAlAgHg after structural relaxation.

Output
As for the magnetic moment: 0.0 μB/f.u. The raw total energy comes out at -12.87 eV per cell.

Structure (POSCAR):
```
PmAlAgHg
1.0
-2.495 -4.219 1.023
-0.223 -1.699 4.705
-4.316 0.195 2.530
Al Hg Ag Pm
1 1 1 1
direct
0.500 0.500 0.500 Al
0.750 0.750 0.750 Hg
0.250 0.250 0.250 Ag
0.000 0.000 0.000 Pm
```



Density functional theory data (GGA-PBE) for Pm4AlAg2Hg after structural relaxation.

Output
As for the magnetic moment: 0.0 μB/f.u. The raw total energy comes out at -31.44 eV per cell.

Structure (POSCAR):
```
Pm4AlAg2Hg
1.0
5.297 0.000 0.000
2.649 4.587 0.000
2.649 1.529 8.701
Ag Hg Al Pm
2 1 1 4
direct
0.753 0.753 0.741 Ag
0.247 0.247 0.259 Ag
0.000 0.000 0.000 Hg
0.500 0.500 0.500 Al
0.126 0.126 0.623 Pm
0.874 0.874 0.377 Pm
0.376 0.376 0.872 Pm
0.624 0.624 0.128 Pm
```



Density functional theory data (GGA-PBE) for PrAlAgHg after structural relaxation.

Output
As for the magnetic moment: 0.0 μB/f.u. The raw total energy comes out at -12.85 eV per cell.

Structure (POSCAR):
```
PrAlAgHg
1.0
-2.419 -0.655 4.396
-0.101 -4.567 2.176
2.636 -0.843 4.237
Pr Ag Hg Al
1 1 1 1
direct
0.500 0.500 0.500 Pr
0.250 0.250 0.250 Ag
0.750 0.750 0.750 Hg
0.000 0.000 0.000 Al
```



Density functional theory data (GGA-PBE) for PrAl2AgHg after structural relaxation.

Output
As for the magnetic moment: 0.0 μB/f.u. The raw total energy comes out at -17.15 eV per cell.

Structure (POSCAR):
```
PrAl2AgHg
1.0
-4.404 0.156 0.732
-0.744 -0.417 -4.385
2.469 -5.342 2.365
Al Ag Hg Pr
2 1 1 1
direct
0.385 0.385 0.771 Al
0.615 0.615 0.229 Al
0.250 0.750 0.500 Ag
0.750 0.250 0.500 Hg
0.000 0.000 0.000 Pr
```



Density functional theory data (GGA-PBE) for Pr4AlAgHg2 after structural relaxation.

Output
As for the magnetic moment: 1.0 μB/f.u. The raw total energy comes out at -29.23 eV per cell.

Structure (POSCAR):
```
Pr4AlAgHg2
1.0
-1.994 3.266 -3.810
1.412 -0.700 -5.165
-7.043 -4.640 -4.119
Pr Al Hg Ag
4 1 2 1
direct
0.125 0.125 0.625 Pr
0.375 0.375 0.874 Pr
0.875 0.875 0.375 Pr
0.625 0.625 0.126 Pr
0.500 0.500 0.500 Al
0.249 0.249 0.253 Hg
0.751 0.751 0.747 Hg
0.000 0.000 0.000 Ag
```



Density functional theory data (GGA-PBE) for RbAlAgHg2 after structural relaxation.

Output
As for the magnetic moment: 0.0 μB/f.u. The raw total energy comes out at -8.37 eV per cell.

Structure (POSCAR):
```
RbAlAgHg2
1.0
5.394 0.000 0.000
0.000 5.394 0.000
0.000 0.000 5.235
Rb Al Hg Ag
1 1 2 1
direct
0.500 0.500 0.500 Rb
0.000 0.000 0.000 Al
0.500 0.000 0.000 Hg
0.000 0.500 0.000 Hg
0.000 0.000 0.500 Ag
```



Density functional theory data (GGA-PBE) for RbAlAg2Hg after structural relaxation.

Output
As for the magnetic moment: 0.0 μB/f.u. The raw total energy comes out at -10.51 eV per cell.

Structure (POSCAR):
```
RbAlAg2Hg
1.0
-5.144 -0.625 0.445
-0.354 -0.745 -5.135
0.710 -5.327 0.724
Ag Hg Al Rb
2 1 1 1
direct
0.500 0.000 0.000 Ag
0.000 0.500 0.000 Ag
0.000 0.000 0.500 Hg
0.000 0.000 0.000 Al
0.500 0.500 0.500 Rb
```



Density functional theory data (GGA-PBE) for Al2AgHgRh after structural relaxation.

Output
As for the magnetic moment: 0.0 μB/f.u. The raw total energy comes out at -17.64 eV per cell.

Structure (POSCAR):
```
Al2AgHgRh
1.0
-4.497 -0.324 1.133
-1.209 -0.934 -5.064
0.510 -4.564 0.720
Ag Al Hg Rh
1 2 1 1
direct
0.000 0.500 0.000 Ag
0.000 0.000 0.500 Al
0.500 0.000 0.000 Al
0.500 0.500 0.500 Hg
0.000 0.000 0.000 Rh
```



Density functional theory data (GGA-PBE) for AlAg2HgS4 after structural relaxation.

Output
As for the magnetic moment: 0.0 μB/f.u. Its uncorrected formation energy is -0.36 eV per atom.

Structure (POSCAR):
```
AlAg2HgS4
1.0
5.634 0.234 0.000
-0.234 5.634 0.000
-2.700 -2.934 5.875
S Ag Al Hg
4 2 1 1
direct
0.845 0.391 0.236 S
0.155 0.155 0.764 S
0.609 0.609 0.764 S
0.391 0.845 0.236 S
0.750 0.250 0.500 Ag
0.250 0.750 0.500 Ag
0.500 0.500 0.000 Al
0.000 0.000 0.001 Hg
```



Density functional theory data (GGA-PBE) for ScAlAgHg after structural relaxation.

Output
As for the magnetic moment: 0.0 μB/f.u. The raw total energy comes out at -14.28 eV per cell.

Structure (POSCAR):
```
ScAlAgHg
1.0
-0.389 -3.553 -3.136
-1.973 -4.123 1.311
-4.275 -1.231 -1.680
Ag Sc Al Hg
1 1 1 1
direct
0.250 0.250 0.250 Ag
0.500 0.500 0.500 Sc
0.000 0.000 0.000 Al
0.750 0.750 0.750 Hg
```



Density functional theory data (GGA-PBE) for Sc4Al2AgHg after structural relaxation.

Output
As for the magnetic moment: 0.0 μB/f.u. The raw total energy comes out at -38.99 eV per cell.

Structure (POSCAR):
```
Sc4Al2AgHg
1.0
4.874 0.000 0.000
2.437 4.221 0.000
2.437 1.407 7.974
Sc Al Ag Hg
4 2 1 1
direct
0.874 0.874 0.378 Sc
0.624 0.624 0.129 Sc
0.376 0.376 0.871 Sc
0.126 0.126 0.622 Sc
0.751 0.751 0.747 Al
0.249 0.249 0.253 Al
0.500 0.500 0.500 Ag
0.000 0.000 0.000 Hg
```



Question: Which value of magnetic moment does entry 3 give?
Answer: 0.0 μB/f.u.



Question: What is the magnetic moment in the eleventh record?
Answer: 0.0 μB/f.u.



Question: Which formula does entry 3 have?
Answer: Pm4AlAg2Hg



Question: What is the formula in the ninth record?
Answer: Al2AgHgRh